Density functional theory data (GGA-PBE) for crystalline CrIn2Tc at its relaxed geometry.

Output
crystal system: tetragonal
energy above the most stable polymorph in this dataset: 0.165 eV per atom
M_tot: 4.120 Bohr magnetons per cell
calculated formation energy: 0.36 eV/atom
calculated density: 8.86 g/cm3

abc: 4.4978 4.4981 3.5170
angles: 90.00 90.00 90.00
Closest atoms and distances in Å follow each position.
Sites, in units of the cell vectors:
In 0.5000 0.5000 0.0000  4 Cr 2.85, 4 Tc 2.85, 4 In 3.18
In 0.0000 0.0000 0.0000  4 Tc 2.85, 4 Cr 2.85, 4 In 3.18
Tc 0.5000 0.0000 0.5000  8 In 2.85, 4 Cr 3.18
Cr 0.0000 0.5000 0.5000  8 In 2.85, 4 Tc 3.18

=====

Density functional theory data (GGA-PBE) for crystalline PdPt2C at its relaxed geometry.

Output
crystal system: tetragonal
M_tot: 0.000 Bohr magnetons per cell
calculated formation energy: 0.38 eV/atom
calculated density: 14.54 g/cm3

abc: 6.3549 6.3549 5.3356
angles: 53.45 53.45 90.00
Closest atoms and distances in Å follow each position.
Sites, in units of the cell vectors:
C 0.2500 0.7500 0.5000  4 Pt 1.99
C 0.5000 0.5000 0.0000  4 Pt 1.99
Pd 0.0000 0.0000 0.0000  8 Pt 2.83-2.84, 2 C 2.88
Pd 0.7500 0.2500 0.5000  8 Pt 2.83-2.84, 2 C 2.88
Pt 0.5248 0.1250 0.2500  2 C 1.99
Pt 0.8750 0.7748 0.7500  2 C 1.99
Pt 0.2252 0.6250 0.2500  2 C 1.99
Pt 0.3750 0.4752 0.7500  2 C 1.99

=====

Density functional theory data (GGA-PBE) for crystalline NaCuIr2 at its relaxed geometry.

Output
crystal system: cubic
energy above the most stable polymorph in this dataset: 0.061 eV per atom
M_tot: 0.015 Bohr magnetons per cell
calculated formation energy: 0.77 eV/atom
calculated density: 13.51 g/cm3

abc: 4.3416 4.3416 4.3416
angles: 60.00 60.00 60.00
Closest atoms and distances in Å follow each position.
Sites, in units of the cell vectors:
Cu 0.5000 0.5000 0.5000  8 Ir 2.66
Ir 0.2500 0.2500 0.2500  4 Na 2.66, 4 Cu 2.66
Ir 0.7500 0.7500 0.7500  4 Na 2.66, 4 Cu 2.66
Na 0.0000 0.0000 0.0000  8 Ir 2.66

=====

Density functional theory data (GGA-PBE) for crystalline Cr2Os at its relaxed geometry.

Output
crystal system: cubic
M_tot: 0.106 Bohr magnetons per cell
calculated formation energy: 1.12 eV/atom
calculated density: 10.51 g/cm3

abc: 5.7079 5.7079 5.7079
angles: 90.00 90.00 90.00
Closest atoms and distances in Å follow each position.
Sites, in units of the cell vectors:
Cr 0.6174 0.6174 0.6174  1 Cr 2.32, 3 Os 2.38
Cr 0.8826 0.1174 0.6174  1 Cr 2.32, 3 Os 2.38
Cr 0.3826 0.3826 0.3826  1 Cr 2.32, 3 Os 2.38
Cr 0.8826 0.3826 0.1174  1 Cr 2.32, 3 Os 2.38
Cr 0.6174 0.8826 0.1174  1 Cr 2.32, 3 Os 2.38
Cr 0.1174 0.6174 0.8826  1 Cr 2.32, 3 Os 2.38
Cr 0.3826 0.1174 0.8826  1 Cr 2.32, 3 Os 2.38
Cr 0.1174 0.8826 0.3826  1 Cr 2.32, 3 Os 2.38
Os 0.5000 0.5000 0.0000  6 Cr 2.38
Os 0.5000 0.0000 0.5000  6 Cr 2.38
Os 0.0000 0.5000 0.5000  6 Cr 2.38
Os 0.0000 0.0000 0.0000  6 Cr 2.38

=====

Density functional theory data (GGA-PBE) for crystalline Er5TmTh5 at its relaxed geometry.

Output
crystal system: hexagonal
M_tot: 0.000 Bohr magnetons per cell
calculated formation energy: 0.40 eV/atom
calculated density: 9.50 g/cm3

abc: 6.2744 6.2744 11.1035
angles: 90.00 90.00 120.00
Closest atoms and distances in Å follow each position.
Sites, in units of the cell vectors:
Th 0.0000 0.0000 0.2683  1 Er 2.98, 3 Th 3.19
Th 0.0000 0.0000 0.7317  1 Er 2.98, 3 Th 3.19
Th 0.8267 0.6533 0.5000  6 Th 3.01-3.26
Th 0.8267 0.1733 0.5000  6 Th 3.01-3.26
Th 0.3467 0.1733 0.5000  6 Th 3.01-3.26
Er 0.3333 0.6667 0.3257  1 Tm 3.62, 9 Th 3.68-3.69, 4 Er 3.87-3.97
Er 0.6667 0.3333 0.8196  6 Th 3.75-3.95, 7 Er 3.97-4.14, 3 Tm 4.14
Er 0.0000 0.0000 0.0000  2 Th 2.98
Er 0.3333 0.6667 0.6743  1 Tm 3.62, 9 Th 3.68-3.69, 4 Er 3.87-3.97
Er 0.6667 0.3333 0.1804  6 Th 3.75-3.95, 7 Er 3.97-4.14, 3 Tm 4.14
Tm 0.3333 0.6667 0.0000  5 Er 3.62

=====

Density functional theory data (GGA-PBE) for crystalline LiAcCd4Ag2 at its relaxed geometry.

Output
crystal system: trigonal
M_tot: 0.000 Bohr magnetons per cell
calculated formation energy: -0.19 eV/atom
calculated density: 7.99 g/cm3

abc: 4.8252 4.8252 9.6744
angles: 75.56 75.56 60.00
Closest atoms and distances in Å follow each position.
Sites, in units of the cell vectors:
Cd 0.4018 0.4018 0.7945  1 Li 2.73, 3 Ag 2.88
Cd 0.8678 0.8678 0.3965  3 Li 2.95, 4 Ag 2.97-2.98
Cd 0.1322 0.1322 0.6035  3 Li 2.95, 4 Ag 2.97-2.98
Cd 0.5982 0.5982 0.2055  1 Li 2.73, 3 Ag 2.88
Ac 0.0000 0.0000 0.0000  8 Cd 3.37-3.67
Li 0.5000 0.5000 0.5000  8 Cd 2.73-2.95
Ag 0.7610 0.7610 0.7170  7 Cd 2.88-2.98
Ag 0.2390 0.2390 0.2830  7 Cd 2.88-2.98

=====

Density functional theory data (GGA-PBE) for crystalline Ti2NbIr at its relaxed geometry.

Output
crystal system: orthorhombic
M_tot: 0.000 Bohr magnetons per cell
calculated formation energy: 0.10 eV/atom
calculated density: 8.97 g/cm3

abc: 5.9318 5.9318 5.9318
angles: 56.22 152.92 131.74
Closest atoms and distances in Å follow each position.
Sites, in units of the cell vectors:
Ti 0.0000 0.2715 0.2715  1 Ir 2.39
Ti 0.0000 0.7285 0.7285  1 Ir 2.39
Ir 0.0000 0.5000 0.5000  2 Ti 2.39
Nb 0.0000 0.0000 0.0000  2 Nb 2.78, 4 Ir 2.79, 2 Ti 2.84

=====

Density functional theory data (GGA-PBE) for crystalline Zr2FeRh at its relaxed geometry.

Output
crystal system: tetragonal
M_tot: 0.730 Bohr magnetons per cell
calculated formation energy: -0.46 eV/atom
calculated density: 8.25 g/cm3

abc: 7.2594 4.5836 3.2696
angles: 89.97 63.27 129.16
Closest atoms and distances in Å follow each position.
Sites, in units of the cell vectors:
Rh 0.5000 0.5000 0.0000  8 Zr 2.81-2.82
Fe 0.0000 0.5000 0.5000  8 Zr 2.81-2.82
Zr 0.0000 0.0000 0.0000  4 Rh 2.81-2.82, 4 Fe 2.81-2.82
Zr 0.5000 0.0000 0.5000  4 Fe 2.81-2.82, 4 Rh 2.81-2.82

=====

Density functional theory data (GGA-PBE) for crystalline TlCdIn at its relaxed geometry.

Output
crystal system: triclinic
M_tot: 0.000 Bohr magnetons per cell
calculated formation energy: 0.04 eV/atom
calculated density: 8.71 g/cm3

abc: 10.0146 6.7825 3.3532
angles: 104.40 60.22 123.62
Closest atoms and distances in Å follow each position.
Sites, in units of the cell vectors:
Cd 0.7095 0.2021 0.3059  4 Cd 3.08-3.35, 4 In 3.16-3.30, 2 Tl 3.35-3.37
Cd 0.8153 0.6500 0.8695  4 Cd 3.08-3.35, 4 Tl 3.28-3.38, 3 In 3.29-3.30
Tl 0.1681 0.6959 0.8606  4 Tl 3.35-3.57, 3 Cd 3.36-3.63, 4 In 3.42-3.43
Tl 0.0226 0.1504 0.3109  4 Cd 3.28-3.37, 4 Tl 3.35-3.57, 2 In 3.43-3.44
In 0.3927 0.2245 0.2943  3 Cd 3.28-3.30, 4 In 3.32-3.35, 4 Tl 3.42-3.44
In 0.5225 0.7260 0.8464  4 Cd 3.16-3.30, 4 In 3.32-3.35, 2 Tl 3.42-3.43

=====

Density functional theory data (GGA-PBE) for crystalline Nd2AlZn4Cu3 at its relaxed geometry.

Output
crystal system: tetragonal
M_tot: 0.000 Bohr magnetons per cell
calculated formation energy: -0.28 eV/atom
calculated density: 6.93 g/cm3

abc: 4.0762 4.0762 11.0680
angles: 90.00 90.00 90.00
Closest atoms and distances in Å follow each position.
Sites, in units of the cell vectors:
Cu 0.5000 0.0000 0.8634  5 Zn 2.47-2.54
Cu 0.0000 0.5000 0.1366  5 Zn 2.47-2.54
Cu 0.0000 0.0000 0.5000  4 Zn 2.56
Al 0.5000 0.5000 0.5000  4 Zn 2.56
Zn 0.0000 0.5000 0.3600  3 Cu 2.47-2.56, 2 Al 2.56
Zn 0.0000 0.0000 0.0000  4 Cu 2.54
Zn 0.5000 0.5000 0.0000  4 Cu 2.54
Zn 0.5000 0.0000 0.6400  3 Cu 2.47-2.56, 2 Al 2.56
Nd 0.0000 0.5000 0.7544  6 Cu 3.12-3.48, 8 Zn 3.15-3.40, 2 Al 3.48
Nd 0.5000 0.0000 0.2456  6 Cu 3.12-3.48, 8 Zn 3.15-3.40, 2 Al 3.48

=====

Density functional theory data (GGA-PBE) for crystalline Pr6NdAg at its relaxed geometry.

Output
crystal system: triclinic
M_tot: 0.000 Bohr magnetons per cell
calculated formation energy: 0.03 eV/atom
calculated density: 6.66 g/cm3

abc: 8.7345 8.7202 6.5309
angles: 48.12 48.10 67.73
Closest atoms and distances in Å follow each position.
Sites, in units of the cell vectors:
Nd 0.5000 0.5000 0.5000  12 Pr 3.61-3.77
Pr 0.5689 0.7639 0.7160  1 Ag 3.13, 2 Pr 3.41-3.44
Pr 0.2360 0.9514 0.2435  1 Ag 3.13, 2 Pr 3.41-3.45
Pr 0.4311 0.2361 0.2840  1 Ag 3.13, 2 Pr 3.41-3.44
Pr 0.9507 0.4315 0.8538  1 Ag 3.13, 2 Pr 3.41-3.44
Pr 0.0493 0.5685 0.1462  1 Ag 3.13, 2 Pr 3.41-3.44
Pr 0.7640 0.0486 0.7565  1 Ag 3.13, 2 Pr 3.41-3.45
Ag 0.0000 0.0000 0.0000  6 Pr 3.13